{
  "formula": "ZnTeP2",
  "functional": "PBE",
  "state": "optimized geometry",
  "lattice_angstrom": [[3.459, 0.000, 0.000], [-1.730, 2.996, 0.000], [0.000, 0.000, 26.857]],
  "species": ["Zn", "Zn", "Zn", "Te", "Te", "Te", "P", "P", "P", "P", "P", "P"],
  "fractional_positions": [[0.000, 0.000, 0.000], [0.333, 0.667, 0.667], [0.667, 0.333, 0.333], [0.000, 0.000, 0.263], [0.333, 0.667, 0.930], [0.667, 0.333, 0.596], [0.000, 0.000, 0.446], [0.000, 0.000, 0.736], [0.333, 0.667, 0.113], [0.333, 0.667, 0.403], [0.667, 0.333, 0.069], [0.667, 0.333, 0.780]],
  "m_tot_mub_per_fu": 0.000,
  "raw_formation_energy_kj_per_mol_atoms": 12.97,
  "space_group": "R3m (160)",
  "mass_density_g_cm3": 4.56
}

---

{
  "formula": "ZnTeP2",
  "functional": "PBE",
  "state": "optimized geometry",
  "lattice_angstrom": [[4.720, 0.000, 0.000], [0.000, 4.720, 0.000], [0.000, 0.000, 3.338]],
  "species": ["Zn", "Te", "P", "P"],
  "fractional_positions": [[0.000, 0.000, 0.000], [0.500, 0.500, 0.000], [0.000, 0.500, 0.500], [0.500, 0.000, 0.500]],
  "m_tot_mub_per_fu": 0.000,
  "raw_formation_energy_kj_per_mol_atoms": 57.51,
  "space_group": "P4/mmm (123)",
  "mass_density_g_cm3": 5.69
}

---

{
  "formula": "ZnTeP2",
  "functional": "PBE",
  "state": "optimized geometry",
  "lattice_angstrom": [[5.729, 0.000, 0.000], [0.000, 5.729, 0.000], [0.000, 0.000, 12.322]],
  "species": ["Zn", "Zn", "Zn", "Zn", "Te", "Te", "Te", "Te", "P", "P", "P", "P", "P", "P", "P", "P"],
  "fractional_positions": [[0.000, 0.000, 0.000], [0.000, 0.500, 0.250], [0.500, 0.000, 0.750], [0.500, 0.500, 0.500], [0.000, 0.000, 0.500], [0.000, 0.500, 0.750], [0.500, 0.000, 0.250], [0.500, 0.500, 0.000], [0.203, 0.250, 0.125], [0.250, 0.703, 0.375], [0.250, 0.797, 0.875], [0.297, 0.250, 0.625], [0.703, 0.750, 0.625], [0.750, 0.203, 0.875], [0.750, 0.297, 0.375], [0.797, 0.750, 0.125]],
  "m_tot_mub_per_fu": 0.000,
  "raw_formation_energy_kj_per_mol_atoms": 29.17,
  "space_group": "I-42d (122)",
  "mass_density_g_cm3": 4.19
}

---

{
  "formula": "ZnTeP2",
  "functional": "PBE",
  "state": "optimized geometry",
  "lattice_angstrom": [[6.667, 0.000, 0.000], [0.000, 6.667, 0.000], [0.000, 0.000, 6.667]],
  "species": ["Zn", "Zn", "Zn", "Zn", "Te", "Te", "Te", "Te", "P", "P", "P", "P", "P", "P", "P", "P"],
  "fractional_positions": [[0.000, 0.000, 0.000], [0.000, 0.500, 0.500], [0.500, 0.000, 0.500], [0.500, 0.500, 0.000], [0.000, 0.000, 0.500], [0.000, 0.500, 0.000], [0.500, 0.000, 0.000], [0.500, 0.500, 0.500], [0.250, 0.250, 0.250], [0.250, 0.250, 0.750], [0.250, 0.750, 0.250], [0.250, 0.750, 0.750], [0.750, 0.250, 0.250], [0.750, 0.250, 0.750], [0.750, 0.750, 0.250], [0.750, 0.750, 0.750]],
  "m_tot_mub_per_fu": 0.000,
  "raw_formation_energy_kj_per_mol_atoms": 59.30,
  "space_group": "Fm-3m (225)",
  "mass_density_g_cm3": 5.71
}

---

{
  "formula": "ZnTeP2",
  "functional": "PBE",
  "state": "optimized geometry",
  "lattice_angstrom": [[4.125, 0.000, 0.000], [0.000, 4.687, 0.000], [0.000, 0.000, 4.748]],
  "species": ["Zn", "Te", "P", "P"],
  "fractional_positions": [[0.000, 0.000, 0.000], [0.000, 0.500, 0.319], [0.500, 0.000, 0.753], [0.500, 0.500, 0.652]],
  "m_tot_mub_per_fu": 0.000,
  "raw_formation_energy_kj_per_mol_atoms": 10.96,
  "space_group": "Pmm2 (25)",
  "mass_density_g_cm3": 4.61
}

---

{
  "formula": "ZnTeP2",
  "functional": "PBE",
  "state": "optimized geometry",
  "lattice_angstrom": [[3.173, 0.000, 0.000], [0.000, 6.842, 0.000], [0.000, 0.000, 9.125]],
  "species": ["Zn", "Zn", "Te", "Te", "P", "P", "P", "P"],
  "fractional_positions": [[0.000, 0.000, 0.000], [0.500, 0.500, 0.000], [0.000, 0.500, 0.246], [0.500, 0.000, 0.246], [0.000, 0.000, 0.618], [0.000, 0.500, 0.776], [0.500, 0.000, 0.776], [0.500, 0.500, 0.618]],
  "m_tot_mub_per_fu": 0.000,
  "raw_formation_energy_kj_per_mol_atoms": 34.95,
  "space_group": "Cmm2 (35)",
  "mass_density_g_cm3": 4.27
}

---

{
  "formula": "ZnTeP2",
  "functional": "PBE",
  "state": "optimized geometry",
  "lattice_angstrom": [[3.705, 0.000, 0.000], [0.000, 3.739, 0.000], [0.000, 0.000, 11.664]],
  "species": ["Zn", "Zn", "Te", "Te", "P", "P", "P", "P"],
  "fractional_positions": [[0.000, 0.000, 0.000], [0.500, 0.500, 0.500], [0.000, 0.000, 0.500], [0.500, 0.500, 0.000], [0.000, 0.500, 0.239], [0.000, 0.500, 0.761], [0.500, 0.000, 0.261], [0.500, 0.000, 0.739]],
  "m_tot_mub_per_fu": 0.000,
  "raw_formation_energy_kj_per_mol_atoms": 53.91,
  "space_group": "Immm (71)",
  "mass_density_g_cm3": 5.24
}

---

{
  "formula": "ZnTeP2",
  "functional": "PBE",
  "state": "optimized geometry",
  "lattice_angstrom": [[3.246, 0.000, 0.000], [0.000, 3.246, 0.000], [0.000, 0.000, 9.396]],
  "species": ["Zn", "Te", "P", "P"],
  "fractional_positions": [[0.000, 0.000, 0.000], [0.000, 0.000, 0.500], [0.500, 0.500, 0.118], [0.500, 0.500, 0.882]],
  "m_tot_mub_per_fu": 0.000,
  "raw_formation_energy_kj_per_mol_atoms": 36.54,
  "space_group": "P4/mmm (123)",
  "mass_density_g_cm3": 4.28
}

---

Looking at energy above the lowest structure with this stoichiometry for the records above, in order, we have 73 534 241 553 52 300 497 317 meV per atom.